DFT (PBE with a Hubbard U) results for an optimized crystal structure of ScMoO3.

Cell: 2.937 5.528 5.530 Å, 60.02 90.00 90.00°
Last column: magnetic moment on the atom in μB.
Positions (direct):
Sc 0.220 0.099 0.062  0.04
Mo 0.220 0.433 0.396  2.65
O 0.720 0.265 0.732  0.04
O 0.720 0.264 0.227  0.04
O 0.720 0.770 0.227  0.04

Properties
**Raw total energy**: -7.90 eV/atom
**DOS at the Fermi energy**: 0.714 states/eV/cell